No. 1
Below is crystalline BaLa2Sc at its relaxed geometry, with properties calculated at the PBE level.

Cell: 5.258 5.258 5.315 Å, 90.00 90.00 90.00°
Space group P4/mmm (No. 123)
Asymmetric unit:
Ba 0.000 0.000 0.000 (multiplicity 1)
La 0.000 0.500 0.500 (multiplicity 2)
Sc 0.500 0.500 0.000 (multiplicity 1)

Results
Magnetization, μB/f.u.: 0.00
Energy above the lowest structure with this stoichiometry, eV/atom: 0.125
DFT total energy, eV/atom: -4.287

---

No. 2
Below is crystalline BaLaSc2 at its relaxed geometry, with properties calculated at the PBE level.

Cell: 8.158 8.158 8.158 Å, 90.00 90.00 90.00°
Space group F-43m (No. 216)
Asymmetric unit:
Ba 0.000 0.000 0.000 (multiplicity 4)
La 0.250 0.250 0.250 (multiplicity 4)
Sc 0.000 0.000 0.500 (multiplicity 4)
Sc 0.250 0.250 0.750 (multiplicity 4)

Results
Magnetization, μB/f.u.: 0.63
Energy above the lowest structure with this stoichiometry, eV/atom: 0.192
DFT total energy, eV/atom: -4.499

---

No. 3
Below is crystalline BaLa2Sc at its relaxed geometry, with properties calculated at the PBE level.

Cell: 5.293 5.293 10.450 Å, 90.00 90.00 90.00°
Space group I4/mmm (No. 139)
Asymmetric unit:
Ba 0.000 0.000 0.000 (multiplicity 2)
La 0.000 0.500 0.250 (multiplicity 4)
Sc 0.000 0.000 0.500 (multiplicity 2)

Results
Magnetization, μB/f.u.: 0.00
Energy above the lowest structure with this stoichiometry, eV/atom: 0.126
DFT total energy, eV/atom: -4.285

---

No. 4
Below is crystalline Ba4LaSc at its relaxed geometry, with properties calculated at the PBE level.

Cell: 10.522 10.522 10.522 Å, 90.00 90.00 90.00°
Space group F-43m (No. 216)
Asymmetric unit:
Ba 0.125 0.125 0.125 (multiplicity 16)
La 0.250 0.250 0.750 (multiplicity 4)
Sc 0.000 0.000 0.500 (multiplicity 4)

Results
Magnetization, μB/f.u.: 0.97
DFT total energy, eV/atom: -2.594

---

No. 5
Below is crystalline BaLaSc2 at its relaxed geometry, with properties calculated at the PBE level.

Cell: 5.822 5.822 3.970 Å, 90.00 90.00 90.00°
Space group P4/mmm (No. 123)
Asymmetric unit:
Ba 0.000 0.000 0.000 (multiplicity 1)
La 0.500 0.500 0.000 (multiplicity 1)
Sc 0.000 0.500 0.500 (multiplicity 2)

Results
Magnetization, μB/f.u.: 0.00
Energy above the lowest structure with this stoichiometry, eV/atom: 0.111
DFT total energy, eV/atom: -4.580

---

No. 6
Below is crystalline BaLa2Sc at its relaxed geometry, with properties calculated at the PBE level.

Cell: 3.999 6.113 6.117 Å, 90.00 90.00 90.00°
Space group Pmmm (No. 47)
Asymmetric unit:
Ba 0.000 0.000 0.000 (multiplicity 1)
La 0.000 0.500 0.500 (multiplicity 1)
La 0.500 0.000 0.500 (multiplicity 1)
Sc 0.500 0.500 0.000 (multiplicity 1)

Results
Magnetization, μB/f.u.: 0.01
Energy above the lowest structure with this stoichiometry, eV/atom: 0.185
DFT total energy, eV/atom: -4.227